SmGdMgSi: relaxed, PBE.

Cell: 7.2923 7.2923 7.2923 Å, 90.00 90.00 90.00°
With the nearest neighbours (Å) after each atom.
Space group F-43m (No. 216)
Inequivalent atoms, fractional coordinates:
Sm1 0.0000 0.0000 0.0000  4 Mg 3.16, 4 Si 3.16
Gd1 0.0000 0.0000 0.5000  4 Si 3.16, 4 Mg 3.16
Mg1 0.2500 0.2500 0.2500  4 Gd 3.16, 4 Sm 3.16
Si1 0.2500 0.2500 0.7500  4 Gd 3.16, 4 Sm 3.16

Results
* magnetization: 1.844 μB per atom
* N(E_F): 0.779 states/eV/atom
* calculated total energy: -6.747 eV per atom



LiSc2PaBi4: relaxed, PBE.

Cell: 7.3067 4.3659 7.6198 Å, 90.00 108.70 90.00°
With the nearest neighbours (Å) after each atom.
Space group P2/m (No. 10)
Inequivalent atoms, fractional coordinates:
Li1 0.0000 0.0000 0.0000  6 Bi 3.02-3.11
Sc1 0.0000 0.5000 0.5000  6 Bi 3.00-3.03
Sc2 0.5000 0.0000 0.5000  6 Bi 3.05-3.06
Pa1 0.5000 0.5000 0.0000  6 Bi 3.07-3.14
Bi1 0.2389 0.0000 0.7422  1 Li 3.02, 3 Sc 3.03-3.05, 2 Pa 3.14
Bi2 0.2507 0.5000 0.2565  3 Sc 3.00-3.06, 1 Pa 3.07, 2 Li 3.11

Results
* magnetization: 0.012 μB per atom
* N(E_F): 0.454 states/eV/atom
* calculated total energy: -5.354 eV per atom



Ba4PmPa3N8: relaxed, PBE.

Cell: 7.3203 7.3203 19.3833 Å, 90.00 90.00 120.00°
With the nearest neighbours (Å) after each atom.
Space group R-3m (No. 166, hexagonal axes)
Inequivalent atoms, fractional coordinates:
Ba1 0.0000 0.0000 0.0000  6 N 2.87
Ba2 0.0000 0.5000 0.0000  6 N 2.98-3.03
Pm1 0.0000 0.0000 0.5000  6 N 2.53
Pa1 0.0000 0.5000 0.5000  6 N 2.34-2.40
N1 0.0000 0.0000 0.2251  3 Pa 2.40
N2 0.0230 0.5115 0.7746  2 Pa 2.34, 1 Pm 2.53

Results
* magnetization: 0.000 μB per atom
* N(E_F): 0.324 states/eV/atom
* calculated total energy: -7.960 eV per atom